Entry 1:
5
Lattice="4.8262 0.0000 0.0000 0.0000 4.3490 0.0000 0.0000 0.0000 4.8262" Properties=species:S:1:pos:R:3 comment="PBE-GGA NiAg2HRu, optimized geometry" total_energy_ev_per_atom=-3.33 pbc="T T T"
Ni 0.0000 0.0000 0.0000
Ag 0.0000 0.0000 2.4131
Ru 0.0000 2.1745 0.0000
Ag 2.4131 0.0000 0.0000
H 2.4131 2.1745 2.4131

=====

Entry 2:
4
Lattice="0.0000 3.3525 3.3525 3.3525 0.0000 3.3525 3.3525 3.3525 0.0000" Properties=species:S:1:pos:R:3 comment="PBE-GGA TlCr2S, optimized geometry" polymorph_energy_ev_per_atom=0.254 raw_formation_energy_ev_per_fu=2.5 pbc="T T T"
S 0.0000 0.0000 0.0000
Cr 5.0288 5.0288 5.0288
Tl 3.3525 3.3525 3.3525
Cr 1.6763 1.6763 1.6763